1.
NaP15: single point on PBEsol structure, SCAN.

Calculated values
For the formation energy, the calculation gives -92.6 meV/atom. The space-group type is P-1.

The structure in POSCAR format:
```
NaP15
1.0
6.885 0.128 0.038
-2.616 8.564 0.006
-1.839 -1.094 11.003
Na P
2 30
direct
0.788 0.790 0.000
0.212 0.210 0.000
0.668 0.306 0.558
0.332 0.694 0.442
0.716 0.125 0.829
0.284 0.875 0.171
0.349 0.798 0.850
0.651 0.202 0.150
0.742 0.515 0.827
0.258 0.485 0.173
0.539 0.909 0.718
0.461 0.091 0.282
0.506 0.277 0.826
0.494 0.723 0.174
0.978 0.566 0.168
0.022 0.434 0.832
0.021 0.899 0.652
0.979 0.101 0.348
0.218 0.584 0.723
0.782 0.416 0.277
0.899 0.232 0.694
0.101 0.768 0.306
0.622 0.764 0.372
0.378 0.236 0.628
0.108 0.909 0.847
0.892 0.091 0.153
0.688 0.545 0.630
0.312 0.455 0.370
0.992 0.654 0.586
0.008 0.346 0.414
0.313 0.984 0.583
0.687 0.016 0.417
```

---

2.
NaP7: single point on PBEsol structure, SCAN.

Calculated values
For the formation energy, the calculation gives -194.1 meV/atom. The space-group type is I4_1/acd.

The structure in POSCAR format:
```
NaP7
1.0
12.406 0.003 0.005
-4.298 11.638 -0.005
-4.298 -5.650 10.174
Na P
8 56
direct
0.000 0.363 0.137
0.226 0.863 0.863
0.500 0.613 0.887
0.726 0.113 0.613
0.000 0.137 0.363
0.774 0.637 0.637
0.500 0.387 0.113
0.274 0.887 0.387
0.223 0.625 0.348
0.277 0.125 0.902
0.723 0.625 0.848
0.777 0.125 0.402
0.277 0.652 0.875
0.223 0.098 0.375
0.777 0.152 0.875
0.723 0.598 0.375
0.378 0.581 0.340
0.241 0.081 0.703
0.878 0.788 0.047
0.741 0.288 0.410
0.622 0.962 0.203
0.759 0.462 0.840
0.122 0.169 0.910
0.259 0.669 0.547
0.241 0.660 0.038
0.378 0.297 0.538
0.741 0.953 0.831
0.878 0.590 0.331
0.759 0.797 0.419
0.622 0.160 0.919
0.259 0.090 0.212
0.122 0.453 0.712
0.588 0.865 0.624
0.241 0.365 0.777
0.088 0.714 0.973
0.741 0.214 0.126
0.412 0.036 0.277
0.759 0.536 0.124
0.912 0.885 0.626
0.259 0.385 0.473
0.241 0.376 0.964
0.588 0.223 0.464
0.741 0.027 0.115
0.088 0.874 0.615
0.759 0.723 0.135
0.412 0.876 0.635
0.259 0.374 0.286
0.912 0.527 0.786
0.525 0.655 0.545
0.110 0.155 0.630
0.025 0.730 0.120
0.610 0.230 0.205
0.475 0.020 0.130
0.890 0.520 0.045
0.975 0.095 0.705
0.390 0.595 0.620
0.110 0.455 0.980
0.525 0.370 0.480
0.610 0.880 0.905
0.025 0.795 0.405
0.890 0.870 0.345
0.475 0.955 0.845
0.390 0.295 0.270
0.975 0.380 0.770
```

---

3.
Na3P11: single point on PBEsol structure, SCAN.

Calculated values
For the formation energy, the calculation gives -296.8 meV/atom. The space-group type is Pbcn.

The structure in POSCAR format:
```
Na3P11
1.0
9.734 0.000 0.000
0.000 10.227 0.000
0.000 0.000 12.375
Na P
12 44
direct
0.000 0.250 0.741
0.500 0.750 0.759
0.000 0.750 0.259
0.500 0.250 0.241
0.245 0.918 0.000
0.745 0.082 0.500
0.255 0.418 0.500
0.755 0.582 0.000
0.755 0.082 0.000
0.255 0.918 0.500
0.745 0.582 0.500
0.245 0.418 0.000
0.000 0.250 0.500
0.500 0.750 0.000
0.000 0.750 0.500
0.500 0.250 0.000
0.306 0.739 0.238
0.806 0.261 0.262
0.194 0.239 0.262
0.694 0.761 0.238
0.694 0.261 0.762
0.194 0.739 0.738
0.806 0.761 0.738
0.306 0.239 0.762
0.398 0.937 0.206
0.898 0.063 0.294
0.102 0.437 0.294
0.602 0.563 0.206
0.602 0.063 0.794
0.102 0.937 0.706
0.898 0.563 0.706
0.398 0.437 0.794
0.414 0.614 0.117
0.914 0.386 0.383
0.086 0.114 0.383
0.586 0.886 0.117
0.586 0.386 0.883
0.086 0.614 0.617
0.914 0.886 0.617
0.414 0.114 0.883
0.411 0.683 0.393
0.911 0.317 0.107
0.089 0.183 0.107
0.589 0.817 0.393
0.589 0.317 0.607
0.089 0.683 0.893
0.911 0.817 0.893
0.411 0.183 0.607
0.980 0.001 0.139
0.480 0.999 0.361
0.520 0.501 0.361
0.020 0.499 0.139
0.020 0.999 0.861
0.520 0.001 0.639
0.480 0.499 0.639
0.980 0.501 0.861
```

---

4.
Na2P2Pb: single point on PBEsol structure, SCAN.

Calculated values
For the formation energy, the calculation gives -158.1 meV/atom. The space-group type is I4/mmm.

The structure in POSCAR format:
```
Na2P2Pb
1.0
-4.171 0.270 -1.304
-0.096 -4.338 -0.591
0.386 1.331 6.393
Pb P Na
1 2 2
direct
0.000 0.000 0.000
0.406 0.406 0.812
0.594 0.594 0.188
0.250 0.750 0.500
0.750 0.250 0.500
```

---

5.
Na6P4Pb3S16: single point on PBEsol structure, SCAN.

Calculated values
The space-group type is R3m. For the raw total energy, the calculation gives -0.59828 hartree per atom.

The structure in POSCAR format:
```
Na6P4Pb3S16
1.0
6.088 0.000 0.000
-2.029 11.102 0.000
-2.029 -5.551 9.614
Na P Pb S
6 4 3 16
direct
0.151 0.551 0.806
0.600 0.449 0.255
0.151 0.806 0.551
0.346 0.745 0.194
0.600 0.255 0.449
0.346 0.194 0.745
0.766 0.000 0.526
0.240 0.474 0.474
0.766 0.526 0.000
0.578 0.000 0.000
0.995 0.000 0.266
0.995 0.266 0.000
0.729 0.734 0.734
0.798 0.825 0.365
0.528 0.176 0.000
0.973 0.540 0.175
0.916 0.000 0.000
0.528 0.000 0.176
0.935 0.511 0.511
0.891 0.000 0.707
0.424 0.000 0.489
0.424 0.489 0.000
0.973 0.175 0.540
0.352 0.824 0.824
0.798 0.365 0.825
0.433 0.460 0.635
0.433 0.635 0.460
0.184 0.293 0.293
0.891 0.707 0.000
```

---

6.
Na2P2Pd: single point on PBEsol structure, SCAN.

Calculated values
For the formation energy, the calculation gives -574.0 meV/atom. The space-group type is P4/mbm.

The structure in POSCAR format:
```
Na2P2Pd
1.0
4.722 0.000 0.000
0.000 6.082 0.000
0.000 0.000 6.082
P Pd Na
4 2 4
direct
0.000 0.369 0.869
0.000 0.869 0.631
0.000 0.631 0.131
0.000 0.131 0.369
0.000 0.000 0.000
0.000 0.500 0.500
0.500 0.177 0.677
0.500 0.677 0.823
0.500 0.823 0.323
0.500 0.323 0.177
```

---

7.
Na3PPd: single point on PBEsol structure, SCAN.

Calculated values
For the formation energy, the calculation gives 286.5 meV/atom. The space-group type is Pm-3m.

The structure in POSCAR format:
```
Na3PPd
1.0
-1.035 -4.747 1.981
3.023 1.074 4.151
-4.161 1.960 2.523
P Pd Na
1 1 3
direct
0.000 0.000 0.000
0.500 0.500 0.500
0.000 0.500 0.000
0.000 0.000 0.500
0.500 0.000 0.000
```

---

8.
NaP2Pt: single point on PBEsol structure, SCAN.

Calculated values
For the formation energy, the calculation gives 47.2 meV/atom. The space-group type is Fm-3m.

The structure in POSCAR format:
```
NaP2Pt
1.0
4.414 0.000 0.000
2.207 3.823 0.000
2.207 1.274 3.604
P Pt Na
2 1 1
direct
0.250 0.250 0.250
0.750 0.750 0.750
0.500 0.500 0.500
0.000 0.000 0.000
```

---

9.
NaPPtS2: single point on PBEsol structure, SCAN.

Calculated values
The space-group type is P4/mmm. For the raw total energy, the calculation gives -0.76201 hartree per atom.

The structure in POSCAR format:
```
NaPPtS2
1.0
-0.875 3.305 -2.689
1.905 -2.613 -3.831
-4.527 -1.948 -0.921
P S Pt Na
1 2 1 1
direct
0.500 0.000 0.000
0.000 0.000 0.500
0.000 0.500 0.000
0.000 0.000 0.000
0.500 0.500 0.500
```

---

10.
Rb2NaP2: single point on PBEsol structure, SCAN.

Calculated values
For the formation energy, the calculation gives -327.2 meV/atom. The space-group type is P4/mbm.

The structure in POSCAR format:
```
Rb2NaP2
1.0
-5.140 1.046 -0.404
-0.899 -6.113 -4.384
-1.341 -4.214 6.151
P Rb Na
4 4 2
direct
0.000 0.399 0.899
0.000 0.899 0.601
0.000 0.601 0.101
0.000 0.101 0.399
0.500 0.176 0.676
0.500 0.676 0.824
0.500 0.824 0.324
0.500 0.324 0.176
0.000 0.000 0.000
0.000 0.500 0.500
```

---

11.
Rb3NaP: single point on PBEsol structure, SCAN.

Calculated values
For the formation energy, the calculation gives -25.0 meV/atom. The space-group type is Pm-3m.

The structure in POSCAR format:
```
Rb3NaP
1.0
-1.549 -5.618 -3.078
3.491 -3.396 4.440
-5.370 -0.587 3.774
P Rb Na
1 3 1
direct
0.000 0.000 0.000
0.000 0.500 0.000
0.000 0.000 0.500
0.500 0.000 0.000
0.500 0.500 0.500
```

---

12.
RbNa2P2: single point on PBEsol structure, SCAN.

Calculated values
For the formation energy, the calculation gives -414.7 meV/atom. The space-group type is I4/mmm.

The structure in POSCAR format:
```
RbNa2P2
1.0
4.832 0.000 0.000
0.000 4.832 0.000
-2.416 -2.416 5.482
P Rb Na
2 1 2
direct
0.402 0.402 0.804
0.598 0.598 0.196
0.000 0.000 0.000
0.250 0.750 0.500
0.750 0.250 0.500
```

---

13.
NaRe3P: single point on PBEsol structure, SCAN.

Calculated values
For the formation energy, the calculation gives 1115.6 meV/atom. The space-group type is Pm-3m.

The structure in POSCAR format:
```
NaRe3P
1.0
-1.675 -3.266 2.423
-2.318 -1.386 -3.471
3.341 -2.599 -1.194
Re Na P
3 1 1
direct
0.000 0.500 0.000
0.000 0.000 0.500
0.500 0.000 0.000
0.500 0.500 0.500
0.000 0.000 0.000
```

---

14.
NaP2RhS: single point on PBEsol structure, SCAN.

Calculated values
The space-group type is P4/mmm. For the raw total energy, the calculation gives -0.49907 hartree per atom.

The structure in POSCAR format:
```
NaP2RhS
1.0
4.416 0.000 0.000
0.000 4.416 0.000
0.000 0.000 5.276
P S Rh Na
2 1 1 1
direct
0.000 0.500 0.000
0.500 0.000 0.000
0.000 0.000 0.500
0.000 0.000 0.000
0.500 0.500 0.500
```

---

15.
Na2P2Ru: single point on PBEsol structure, SCAN.

Calculated values
For the formation energy, the calculation gives -508.9 meV/atom. The space-group type is P4/mbm.

The structure in POSCAR format:
```
Na2P2Ru
1.0
4.774 0.000 0.000
0.000 5.972 0.000
0.000 0.000 5.972
Ru Na P
2 4 4
direct
0.000 0.000 0.000
0.000 0.500 0.500
0.500 0.183 0.683
0.500 0.683 0.817
0.500 0.817 0.317
0.500 0.317 0.183
0.000 0.366 0.866
0.000 0.866 0.634
0.000 0.634 0.134
0.000 0.134 0.366
```

---

16.
Na3PS4: single point on PBEsol structure, SCAN.

Calculated values
The space-group type is I-43m. For the raw total energy, the calculation gives -0.32139 hartree per atom.

The structure in POSCAR format:
```
Na3PS4
1.0
5.994 0.000 0.000
-1.998 5.651 0.000
-1.998 -2.826 4.894
P S Na
1 4 3
direct
0.000 0.000 0.000
0.656 0.656 0.656
0.344 0.000 0.000
0.000 0.344 0.000
0.000 0.000 0.344
0.000 0.500 0.500
0.500 0.500 0.000
0.500 0.000 0.500
```

---

17.
NaPS3: single point on PBEsol structure, SCAN.

Calculated values
The space-group type is P2_1/m. For the raw total energy, the calculation gives -0.34552 hartree per atom.

The structure in POSCAR format:
```
NaPS3
1.0
6.585 0.000 0.062
0.000 7.685 0.000
0.050 0.000 8.963
Na P S
4 4 12
direct
0.292 0.517 0.709
0.708 0.017 0.291
0.708 0.483 0.291
0.292 0.983 0.709
0.789 0.750 0.613
0.211 0.250 0.387
0.672 0.750 0.927
0.328 0.250 0.073
0.237 0.046 0.226
0.763 0.546 0.774
0.763 0.954 0.774
0.237 0.454 0.226
0.372 0.750 0.957
0.628 0.250 0.043
0.548 0.750 0.481
0.452 0.250 0.519
0.854 0.750 0.100
0.146 0.250 0.900
0.060 0.750 0.512
0.940 0.250 0.488
```

---

| no. | volume (A^3/atom) | total magnetization (μB per formula unit) |
| --- | --- | --- |
| 1 | 20.41 | 0.0 |
| 2 | 22.96 | 0.0 |
| 3 | 22.00 | 0.0 |
| 4 | 22.10 | 0.0 |
| 5 | 22.41 | 0.0 |
| 6 | 17.47 | 0.0 |
| 7 | 28.88 | 0.0 |
| 8 | 15.20 | 0.0 |
| 9 | 21.87 | 0.0 |
| 10 | 30.19 | 0.7 |
| 11 | 57.24 | 1.0 |
| 12 | 25.60 | 0.7 |
| 13 | 17.02 | 0.0 |
| 14 | 20.58 | 0.0 |
| 15 | 17.03 | 0.0 |
| 16 | 20.72 | 0.0 |
| 17 | 22.68 | 0.0 |